Density functional theory data (PBE) for a geometry-optimized BaMgCd2Br structure.

## Properties
Total energy ... -1.795 eV per atom
ρ ... 4.6 g/cm3
DOS(E_F) ... 3.06 states/eV per cell
M_tot ... 0.00 μB/cell

CIF file:
```
data_BaMgCd2Br
_chemical_formula_sum 'Ba1 Mg1 Cd2 Br1'
_space_group_name_H-M_alt 'P 4/m m m'
_space_group_IT_number 123
_space_group_name_Hall '-P 4 2'
_cell_length_a 5.472
_cell_length_b 5.472
_cell_length_c 5.657
_cell_angle_alpha 90.00
_cell_angle_beta 90.00
_cell_angle_gamma 90.00
loop_
_atom_site_label
_atom_site_fract_x
_atom_site_fract_y
_atom_site_fract_z
Ba1 0.000 0.000 0.000
Mg1 0.500 0.500 0.500
Cd1 0.000 0.500 0.500
Br1 0.500 0.500 0.000
```